Version a
The following is a DFT calculation (PBE) of CaC2I after structural relaxation.

Calculated values
Size of the total moment (μB/cell): 0.00
Calculated density (g/cm3): 4.8
Space-group type: No. 225

Cell: 6.412 6.412 6.412 Å, 90.00 90.00 90.00°
Element x y z (fractional)
Ca: 0.000 0.000 0.000
Ca: 0.000 0.500 0.500
Ca: 0.500 0.000 0.500
Ca: 0.500 0.500 0.000
C: 0.250 0.250 0.250
C: 0.250 0.250 0.750
C: 0.250 0.750 0.250
C: 0.250 0.750 0.750
C: 0.750 0.250 0.250
C: 0.750 0.250 0.750
C: 0.750 0.750 0.250
C: 0.750 0.750 0.750
I: 0.000 0.000 0.500
I: 0.000 0.500 0.000
I: 0.500 0.000 0.000
I: 0.500 0.500 0.500

Version b
The following is a DFT calculation (PBE) of CaC2I after structural relaxation.

Calculated values
Size of the total moment (μB/cell): 2.16
Calculated density (g/cm3): 4.2
Space-group type: No. 122

Cell: 6.097 6.097 8.090 Å, 90.00 90.00 90.00°
Element x y z (fractional)
Ca: 0.000 0.000 0.000
Ca: 0.000 0.500 0.250
Ca: 0.500 0.000 0.750
Ca: 0.500 0.500 0.500
C: 0.206 0.250 0.625
C: 0.250 0.706 0.875
C: 0.250 0.794 0.375
C: 0.294 0.250 0.125
C: 0.706 0.750 0.125
C: 0.750 0.206 0.375
C: 0.750 0.294 0.875
C: 0.794 0.750 0.625
I: 0.000 0.000 0.500
I: 0.000 0.500 0.750
I: 0.500 0.000 0.250
I: 0.500 0.500 0.000

Each structure's energy above the most stable one, in kJ/mol of atoms: version a 33.5; version b 0.0.